The following is a PBE with a Hubbard U calculation of an optimized crystal structure of AcV2PO8, from the Alexandria database.

Values from the calculation:
**V**: 12.14 Å³ per atom
**Raw total energy**: -7.444 eV/atom

Lattice parameters (Å, degrees): 4.4270 4.5718 7.2490 96.22 90.83 92.87
Atoms (fractional coordinates):
Ac: 0.0000 0.0000 0.0000
V: 0.4711 0.5396 0.6846
V: 0.5289 0.4604 0.3154
P: 0.0000 0.0000 0.5000
O: 0.1639 0.1758 0.3354
O: 0.1808 0.2211 0.6837
O: 0.3010 0.7352 0.4919
O: 0.4440 0.7177 0.9097
O: 0.5560 0.2823 0.0903
O: 0.6990 0.2648 0.5081
O: 0.8192 0.7789 0.3163
O: 0.8361 0.8242 0.6646